1.
# K2SrZn (PBE, relaxed)
# M_tot	0.00	μB/cell
# DOS(E_F)	3.18	states/eV/cell
# energy of formation	0.178	eV per atom
# crystal system	orthorhombic
data_K2SrZn
_cell_length_a 5.070
_cell_length_b 5.473
_cell_length_c 6.594
_cell_angle_alpha 90.00
_cell_angle_beta 90.00
_cell_angle_gamma 90.00
_symmetry_space_group_name_H-M 'P m m m'
_symmetry_Int_Tables_number 47
loop_
_symmetry_equiv_pos_as_xyz
'x,y,z'
'-x,-y,-z'
'-x,-y,z'
'x,y,-z'
'x,-y,-z'
'-x,y,z'
'-x,y,-z'
'x,-y,z'
loop_
_atom_site_label
_atom_site_type_symbol
_atom_site_fract_x
_atom_site_fract_y
_atom_site_fract_z
_atom_site_occupancy
K1 K 0.000 0.000 0.000 1
K2 K 0.500 0.500 0.000 1
Sr1 Sr 0.000 0.500 0.500 1
Zn1 Zn 0.500 0.000 0.500 1

=====

2.
# Li2ScTe (PBE, relaxed)
# M_tot	1.20	μB/cell
# DOS(E_F)	13.89	states/eV/cell
# calculated total energy	-41.02	eV for the cell shown
# crystal system	trigonal
data_Li2ScTe
_cell_length_a 3.3873
_cell_length_b 3.3873
_cell_length_c 28.8700
_cell_angle_alpha 90.00
_cell_angle_beta 90.00
_cell_angle_gamma 120.00
_symmetry_space_group_name_H-M 'R -3 m'
_symmetry_Int_Tables_number 166
_symmetry_space_group_name_Hall '-R 3 2"'
loop_
_atom_site_label
_atom_site_type_symbol
_atom_site_fract_x
_atom_site_fract_y
_atom_site_fract_z
_atom_site_occupancy
Li1 Li 0.0000 0.0000 0.2391 1
Sc1 Sc 0.0000 0.0000 0.0000 1
Te1 Te 0.0000 0.0000 0.5000 1

=====

3.
# Sr3LaTh2As6 (PBE, relaxed)
# M_tot	0.00	μB/cell
# DOS(E_F)	22.85	states/eV/cell
# energy of formation	-1.310	eV per atom
# crystal system	monoclinic
data_Sr3LaTh2As6
_cell_length_a 7.615
_cell_length_b 13.194
_cell_length_c 7.641
_cell_angle_alpha 90.00
_cell_angle_beta 109.43
_cell_angle_gamma 90.00
_symmetry_space_group_name_H-M 'C 1 2/m 1'
_symmetry_Int_Tables_number 12
loop_
_symmetry_equiv_pos_as_xyz
'x,y,z'
'-x,-y,-z'
'-x,y,-z'
'x,-y,z'
'x+1/2,y+1/2,z'
'-x+1/2,-y+1/2,-z'
'-x+1/2,y+1/2,-z'
'x+1/2,-y+1/2,z'
loop_
_atom_site_label
_atom_site_type_symbol
_atom_site_fract_x
_atom_site_fract_y
_atom_site_fract_z
_atom_site_occupancy
Sr1 Sr 0.000 0.000 0.000 1
Sr2 Sr 0.000 0.335 0.000 1
La1 La 0.000 0.500 0.500 1
Th1 Th 0.000 0.167 0.500 1
As1 As 0.236 0.000 0.729 1
As2 As 0.247 0.330 0.729 1

=====

4.
# YTi2AlAu (PBE, relaxed)
# M_tot	0.00	μB/cell
# DOS(E_F)	11.67	states/eV/cell
# energy of formation	0.585	eV per atom
# crystal system	tetragonal
data_YTi2AlAu
_cell_length_a 4.729
_cell_length_b 4.729
_cell_length_c 5.331
_cell_angle_alpha 90.00
_cell_angle_beta 90.00
_cell_angle_gamma 90.00
_symmetry_space_group_name_H-M 'P 4/m m m'
_symmetry_Int_Tables_number 123
_symmetry_space_group_name_Hall '-P 4 2'
loop_
_atom_site_label
_atom_site_type_symbol
_atom_site_fract_x
_atom_site_fract_y
_atom_site_fract_z
_atom_site_occupancy
Y1 Y 0.000 0.000 0.000 1
Ti1 Ti 0.000 0.500 0.500 1
Al1 Al 0.000 0.000 0.500 1
Au1 Au 0.500 0.500 0.000 1

=====

5.
# CsBeRh3 (PBE, relaxed)
# M_tot	0.00	μB/cell
# DOS(E_F)	5.07	states/eV/cell
# energy of formation	0.690	eV per atom
# ΔE to the lowest computed polymorph	0.00	eV per formula unit
# crystal system	cubic
data_CsBeRh3
_cell_length_a 4.452
_cell_length_b 4.452
_cell_length_c 4.452
_cell_angle_alpha 90.00
_cell_angle_beta 90.00
_cell_angle_gamma 90.00
_symmetry_space_group_name_H-M 'P m -3 m'
_symmetry_Int_Tables_number 221
_symmetry_space_group_name_Hall '-P 4 2 3'
loop_
_atom_site_label
_atom_site_type_symbol
_atom_site_fract_x
_atom_site_fract_y
_atom_site_fract_z
_atom_site_occupancy
Cs1 Cs 0.000 0.000 0.000 1
Be1 Be 0.500 0.500 0.500 1
Rh1 Rh 0.000 0.500 0.500 1

=====

6.
# SbPb2Se (PBE, relaxed)
# M_tot	0.00	μB/cell
# DOS(E_F)	8.55	states/eV/cell
# ΔE to the lowest computed polymorph	0.31	eV per formula unit
# crystal system	trigonal
data_SbPb2Se
_cell_length_a 4.2200
_cell_length_b 4.2200
_cell_length_c 24.9022
_cell_angle_alpha 90.00
_cell_angle_beta 90.00
_cell_angle_gamma 120.00
_symmetry_space_group_name_H-M 'R 3 m'
_symmetry_Int_Tables_number 160
_symmetry_space_group_name_Hall 'R 3 -2"'
loop_
_atom_site_label
_atom_site_type_symbol
_atom_site_fract_x
_atom_site_fract_y
_atom_site_fract_z
_atom_site_occupancy
Sb1 Sb 0.0000 0.0000 0.0000 1
Pb1 Pb 0.0000 0.0000 0.4274 1
Pb2 Pb 0.0000 0.0000 0.5909 1
Se1 Se 0.0000 0.0000 0.8270 1

=====

7.
# TcSnIr (PBE, relaxed)
# M_tot	0.00	μB/cell
# DOS(E_F)	8.76	states/eV/cell
# energy of formation	0.082	eV per atom
# ΔE to the lowest computed polymorph	0.21	eV per formula unit
# crystal system	monoclinic
data_TcSnIr
_cell_length_a 10.375
_cell_length_b 2.942
_cell_length_c 6.909
_cell_angle_alpha 90.00
_cell_angle_beta 109.07
_cell_angle_gamma 90.00
_symmetry_space_group_name_H-M 'C 1 m 1'
_symmetry_Int_Tables_number 8
loop_
_symmetry_equiv_pos_as_xyz
'x,y,z'
'x,-y,z'
'x+1/2,y+1/2,z'
'x+1/2,-y+1/2,z'
loop_
_atom_site_label
_atom_site_type_symbol
_atom_site_fract_x
_atom_site_fract_y
_atom_site_fract_z
_atom_site_occupancy
Tc1 Tc 0.000 0.000 0.000 1
Tc2 Tc 0.139 0.500 0.327 1
Sn1 Sn 0.272 0.000 0.059 1
Sn2 Sn 0.319 0.000 0.641 1
Ir1 Ir 0.091 0.500 0.717 1
Ir2 Ir 0.442 0.500 0.371 1

=====

8.
# ScZnPd (PBE, relaxed)
# M_tot	0.00	μB/cell
# DOS(E_F)	6.99	states/eV/cell
# energy of formation	-0.505	eV per atom
# crystal system	cubic
data_ScZnPd
_cell_length_a 6.211
_cell_length_b 6.211
_cell_length_c 6.211
_cell_angle_alpha 90.00
_cell_angle_beta 90.00
_cell_angle_gamma 90.00
_symmetry_space_group_name_H-M 'F -4 3 m'
_symmetry_Int_Tables_number 216
_symmetry_space_group_name_Hall 'F -4 2 3'
loop_
_atom_site_label
_atom_site_type_symbol
_atom_site_fract_x
_atom_site_fract_y
_atom_site_fract_z
_atom_site_occupancy
Sc1 Sc 0.000 0.000 0.000 1
Zn1 Zn 0.000 0.000 0.500 1
Pd1 Pd 0.250 0.250 0.250 1